A plane-wave DFT calculation with GGA-PBE was carried out for crystalline CaPSe at its relaxed geometry.

Cell and atoms, written as POSCAR:
```
CaPSe
1.0
3.854 0.000 0.000
0.002 4.257 0.000
1.906 1.934 9.200
Ca P Se
2 2 2
Direct
0.000 0.000 0.000
0.314 0.295 0.371
0.159 0.055 0.684
0.678 0.745 0.658
0.473 0.476 0.055
0.802 0.787 0.396
```

Values from the calculation:
The total magnetization comes out at 0.0 μB per cell. The value obtained for the raw formation energy is -1.072 eV per atom. As for the volume: 75 Å³/f.u.